Pm12Y7Er | GGA-PBE | relaxed

```
Pm12Y7Er
1.0
9.4240 5.4410 2.2650
-9.4240 5.4410 2.2650
0.0000 -10.8819 2.2650
Pm Y Er
12 7 1
Cartesian
-2.0004 -3.4470 1.9271
-5.0952 2.2426 2.7845
-4.4898 -3.2913 4.0105
0.6054 -5.5340 2.7845
-1.9850 3.4559 1.9271
3.9854 -0.0089 1.9271
-3.9854 0.0089 4.8679
1.9850 -3.4559 4.8679
-0.6054 5.5339 4.0105
4.4898 3.2913 2.7845
5.0953 -2.2427 4.0105
2.0004 3.4470 4.8679
-2.8496 0.1073 1.5101
1.3319 -2.5215 1.5101
1.5177 2.4142 1.5101
0.0000 0.0000 3.3975
-1.5177 -2.4142 5.2849
-1.3319 2.5215 5.2849
2.8496 -0.1073 5.2849
0.0000 0.0000 0.0000
```

Density of states at the Fermi level ... 27.2 states/eV/cell
ρ ... 6.028 g cm⁻³
Final energy ... -101.09 eV for the cell shown
Space-group type ... No. 148


Li2Y3In3 | GGA-PBE | relaxed

```
Li2Y3In3
1.0
2.3564 -5.4136 0.0000
2.3564 5.4136 0.0000
0.0000 0.0000 15.6142
Li Y In
4 6 6
Cartesian
2.3564 3.1024 9.2630
2.3564 3.1024 14.1582
2.3564 -3.1024 1.4559
2.3564 -3.1024 6.3511
2.3564 4.4546 1.7268
2.3564 4.4546 6.0803
2.3564 1.4596 3.9035
2.3564 -1.4596 11.7106
2.3564 -4.4546 9.5339
2.3564 -4.4546 13.8873
2.3564 1.7366 11.7106
2.3564 1.2324 0.7314
2.3564 1.2324 7.0757
2.3564 -1.2324 8.5385
2.3564 -1.2324 14.8827
2.3564 -1.7366 3.9035
```

Density of states at the Fermi level ... 12.9 states/eV/cell
ρ ... 5.211 g cm⁻³
Final energy ... -68.53 eV for the cell shown
Space-group type ... No. 63


Dy5Er3Co2 | GGA-PBE | relaxed

```
Dy5Er3Co2
1.0
-5.0568 7.3241 3.8037
5.0568 -7.3241 3.8037
5.0568 7.3241 -3.8037
Dy Er Co
10 6 4
Cartesian
5.0568 3.7133 -1.9018
2.4659 1.7926 0.0000
0.0000 0.0000 1.9018
2.4659 -1.7926 3.8037
0.0000 3.6108 1.9018
5.0568 3.7133 1.9018
2.5909 9.1167 0.0000
0.0000 0.0000 5.7055
2.5909 5.5315 3.8037
0.0000 3.6108 5.7055
7.6461 1.8198 0.0000
5.0568 0.0000 1.9018
2.5893 5.5043 0.0000
2.4675 1.8198 3.8037
0.0000 7.3241 1.9018
-2.5893 5.5043 3.8037
5.0596 1.8953 0.0000
0.0028 5.4288 0.0000
5.0540 1.8953 3.8037
-0.0028 5.4288 3.8037
```

Density of states at the Fermi level ... 23.5 states/eV/cell
ρ ... 8.441 g cm⁻³
Final energy ... -102.59 eV for the cell shown
Space-group type ... No. 72


La12Nd3Y | GGA-PBE | relaxed

```
La12Nd3Y
1.0
5.2427 0.0000 0.0000
0.0000 5.2427 0.0000
0.0000 0.0000 20.9648
La Nd Y
12 3 1
Cartesian
0.0000 0.0000 0.0000
0.0000 0.0000 5.2228
0.0000 0.0000 10.4824
0.0000 0.0000 15.7420
0.0000 2.6213 2.6028
0.0000 2.6213 7.8483
0.0000 2.6213 13.1165
0.0000 2.6213 18.3620
2.6213 0.0000 2.6028
2.6213 0.0000 7.8483
2.6213 0.0000 13.1165
2.6213 0.0000 18.3620
2.6213 2.6213 5.2149
2.6213 2.6213 10.4824
2.6213 2.6213 15.7500
2.6213 2.6213 0.0000
```

Density of states at the Fermi level ... 25.8 states/eV/cell
ρ ... 6.307 g cm⁻³
Final energy ... -79.80 eV for the cell shown
Space-group type ... No. 123


Cs2AgHgPt | GGA-PBE | relaxed

```
Cs2AgHgPt
1.0
6.6782 0.0000 0.0000
0.0000 6.6782 0.0000
0.0000 0.0000 5.2588
Cs Ag Hg Pt
2 1 1 1
Cartesian
0.0000 3.3391 0.0000
3.3391 0.0000 0.0000
0.0000 0.0000 2.6294
3.3391 3.3391 2.6294
3.3391 3.3391 0.0000
```

Density of states at the Fermi level ... 4.4 states/eV/cell
ρ ... 5.447 g cm⁻³
Final energy ... -10.78 eV for the cell shown
Space-group type ... No. 123


EuInBr3 | GGA-PBE | relaxed

```
EuInBr3
1.0
5.8870 0.0000 0.0000
0.0000 5.8870 0.0000
0.0000 0.0000 5.8870
Eu In Br
1 1 3
Cartesian
0.0000 0.0000 0.0000
2.9435 2.9435 2.9435
0.0000 0.0000 2.9435
0.0000 2.9435 0.0000
2.9435 0.0000 0.0000
```

Density of states at the Fermi level ... 14.9 states/eV/cell
ρ ... 4.122 g cm⁻³
Formation energy from raw total energies ... -1.367 eV per atom
Space-group type ... No. 221


La2CoRhW | GGA-PBE | relaxed

```
La2CoRhW
1.0
5.4413 0.0000 0.0000
0.0000 5.4413 0.0000
0.0000 0.0000 4.5584
La Co Rh W
2 1 1 1
Cartesian
0.0000 2.7206 0.0000
2.7206 0.0000 0.0000
0.0000 0.0000 2.2792
0.0000 0.0000 0.0000
2.7206 2.7206 2.2792
```

Density of states at the Fermi level ... 5.1 states/eV/cell
ρ ... 7.671 g cm⁻³
Final energy ... -32.81 eV for the cell shown
Space-group type ... No. 123


YCo2Sb | GGA-PBE | relaxed

```
YCo2Sb
1.0
-2.2347 2.2347 8.6540
2.2347 -2.2347 8.6540
2.2347 2.2347 -8.6540
Y Co Sb
2 4 2
Cartesian
0.0000 0.0000 0.0000
0.0000 2.2347 4.3270
1.1174 -0.3395 6.4905
1.8952 1.1174 2.1635
1.1174 2.5742 -2.1635
0.3395 1.1174 10.8176
2.2347 0.0000 4.3270
0.0000 0.0000 8.6540
```

Density of states at the Fermi level ... 5.9 states/eV/cell
ρ ... 6.311 g cm⁻³
Formation energy from raw total energies ... 0.052 eV per atom
Space-group type ... No. 122


SbPPb2 | GGA-PBE | relaxed

```
SbPPb2
1.0
-1.8467 2.2862 6.6804
1.8467 -2.2862 6.6804
1.8467 2.2862 -6.6804
Sb P Pb
1 1 2
Cartesian
0.0000 0.0000 0.0000
0.0000 0.0000 6.6804
1.8467 0.0000 4.2977
0.0000 2.2862 2.3827
```

Density of states at the Fermi level ... 2.1 states/eV/cell
ρ ... 8.348 g cm⁻³
Formation energy from raw total energies ... 0.202 eV per atom
Space-group type ... No. 71


> Number 3 is which compound?

Dy5Er3Co2


> What is the ρ in the first record?

6.028 g cm⁻³